# 1
4
Lattice="0.000 3.043 3.043 3.043 0.000 3.043 3.043 3.043 0.000" Properties=species:S:1:pos:R:3 comment="MgFeRe2 PBE optimized geometry" rho_g_cm3=13.34 formation_energy_ev_per_atom=0.23 spacegroup=F-43m energy_ev_per_cell=-34.05 polymorph_energy_mev_per_atom=21.1 pbc="T T T"
Mg 0.000 0.000 0.000
Fe 1.521 1.521 1.521
Re 3.043 3.043 3.043
Re 4.564 4.564 4.564

---

# 2
4
Lattice="4.745 -1.384 0.000 4.745 1.384 0.000 -1.580 0.000 4.126" Properties=species:S:1:pos:R:3 comment="MgFe2Re PBE optimized geometry" rho_g_cm3=9.87 formation_energy_ev_per_atom=0.23 spacegroup=Cm energy_ev_per_cell=-30.05 polymorph_energy_mev_per_atom=32.2 pbc="T T T"
Mg 0.000 0.000 0.000
Fe 1.016 0.000 3.191
Fe 4.090 0.000 2.112
Re 6.886 0.000 1.309

---

# 3
4
Lattice="1.372 0.792 8.718 -1.372 0.792 8.718 0.000 -1.584 8.718" Properties=species:S:1:pos:R:3 comment="MgFe2Re PBE optimized geometry" rho_g_cm3=9.41 formation_energy_ev_per_atom=0.29 spacegroup=R-3m energy_ev_per_cell=-29.79 polymorph_energy_mev_per_atom=96.9 pbc="T T T"
Mg 0.000 0.000 0.000
Fe 0.000 0.000 6.426
Fe 0.000 0.000 19.729
Re 0.000 0.000 13.077

---

# 4
4
Lattice="2.746 0.000 0.000 0.000 3.965 0.000 0.000 0.000 5.467" Properties=species:S:1:pos:R:3 comment="MgFeRe2 PBE optimized geometry" rho_g_cm3=12.62 formation_energy_ev_per_atom=0.30 spacegroup=Pmm2 energy_ev_per_cell=-33.75 polymorph_energy_mev_per_atom=94.5 pbc="T T T"
Mg 0.000 0.000 0.000
Fe 1.373 1.983 4.178
Re 0.000 0.000 2.755
Re 1.373 1.983 1.574

---

# 5
10
Lattice="5.965 0.000 0.000 0.000 5.965 0.000 0.000 0.000 4.305" Properties=species:S:1:pos:R:3 comment="Mg2Fe2Re PBE optimized geometry" rho_g_cm3=7.51 formation_energy_ev_per_atom=0.31 spacegroup=P4/mbm energy_ev_per_cell=-62.04 pbc="T T T"
Mg 1.068 1.914 0.000
Mg 1.914 4.897 0.000
Mg 4.051 1.068 0.000
Mg 4.897 4.051 0.000
Fe 0.754 3.736 2.152
Fe 2.229 0.754 2.152
Fe 3.736 5.212 2.152
Fe 5.212 2.229 2.152
Re 0.000 0.000 2.152
Re 2.983 2.983 2.152

---

# 6
4
Lattice="2.801 0.000 0.000 0.000 2.801 0.000 0.000 0.000 7.196" Properties=species:S:1:pos:R:3 comment="MgFe2Re PBE optimized geometry" rho_g_cm3=9.48 formation_energy_ev_per_atom=0.22 spacegroup=P4mm energy_ev_per_cell=-30.10 polymorph_energy_mev_per_atom=19.0 pbc="T T T"
Mg 0.000 0.000 0.000
Fe 0.000 0.000 3.735
Fe 1.401 1.401 5.191
Re 1.401 1.401 2.141

---

# 7
4
Lattice="0.000 3.032 3.032 3.032 0.000 3.032 3.032 3.032 0.000" Properties=species:S:1:pos:R:3 comment="MgFeRe2 PBE optimized geometry" rho_g_cm3=13.48 formation_energy_ev_per_atom=0.63 spacegroup=Fm-3m energy_ev_per_cell=-32.44 polymorph_energy_mev_per_atom=422.7 pbc="T T T"
Mg 0.000 0.000 0.000
Fe 3.032 3.032 3.032
Re 1.516 1.516 1.516
Re 4.548 4.548 4.548

---

# 8
4
Lattice="2.601 0.000 0.000 0.000 4.278 0.000 -0.802 0.000 4.912" Properties=species:S:1:pos:R:3 comment="MgFe2Re PBE optimized geometry" rho_g_cm3=9.79 formation_energy_ev_per_atom=0.23 spacegroup=Pm energy_ev_per_cell=-30.05 polymorph_energy_mev_per_atom=31.9 pbc="T T T"
Mg 0.000 0.000 0.000
Fe 0.194 2.139 3.843
Fe 0.787 0.000 2.509
Re 1.647 2.139 1.474

---

# 9
4
Lattice="4.589 0.000 0.000 0.000 4.589 0.000 0.000 0.000 2.706" Properties=species:S:1:pos:R:3 comment="MgFeRe2 PBE optimized geometry" rho_g_cm3=13.19 formation_energy_ev_per_atom=0.53 spacegroup=P4/mmm energy_ev_per_cell=-32.84 polymorph_energy_mev_per_atom=321.5 pbc="T T T"
Mg 0.000 0.000 0.000
Fe 2.295 2.295 0.000
Re 0.000 2.295 1.353
Re 2.295 0.000 1.353

---

# 10
8
Lattice="-3.359 3.359 2.665 3.359 -3.359 2.665 3.359 3.359 -2.665" Properties=species:S:1:pos:R:3 comment="MgFe2Re PBE optimized geometry" rho_g_cm3=8.90 formation_energy_ev_per_atom=0.76 spacegroup=I-42d energy_ev_per_cell=-55.88 polymorph_energy_mev_per_atom=560.5 pbc="T T T"
Mg 0.000 0.000 0.000
Mg 0.000 3.359 1.332
Fe 1.679 -1.387 1.999
Fe 1.972 1.679 0.666
Fe 1.679 4.746 -0.666
Fe 1.387 1.679 3.331
Re 3.359 0.000 1.332
Re 0.000 0.000 2.665